This record from Alexandria via LeMat-Bulk describes a relaxed Mg6TiW crystal. The functional is PBE.

Calculated values
DOS(E_F), states/eV/cell: 9.1
DFT formation energy, eV per atom: 0.240
Polymorph energy (0 for the lowest one), meV per atom: 0
Volume, Å³/atom: 19.90
Calculated total energy, eV/atom: -3.56

Unit cell a=4.8066 b=5.9973 c=11.0476 alpha=90.00 beta=90.00 gamma=90.00
Last column: nearest neighbours and their distance in Å.
Space group Amm2 (No. 38)
Unique sites:
Mg 0.0000 0.0000 0.0000 [2 per cell]  10 Mg 2.95-3.21, 2 Ti 3.02
Mg 0.0000 0.2413 0.2461 [4 per cell]  1 Ti 2.87, 8 Mg 2.89-3.21, 2 W 3.12
Mg 0.5000 0.0000 0.8453 [2 per cell]  10 Mg 2.95-3.18, 2 W 3.01
Mg 0.5000 0.2438 0.5971 [4 per cell]  1 W 2.91, 8 Mg 2.91-3.18, 2 Ti 3.14
Ti 0.0000 0.0000 0.4707 [2 per cell]  2 W 2.65, 2 Mg 2.87
W 0.5000 0.0000 0.3697 [2 per cell]  2 Ti 2.65, 2 Mg 2.91

This record from Alexandria via LeMat-Bulk describes a relaxed ScZn2Br crystal. The functional is PBE.

Calculated values
DOS(E_F), states/eV/cell: 2.1
Polymorph energy (0 for the lowest one), meV per atom: 0
Volume, Å³/atom: 22.27
Calculated total energy, eV/atom: -3.03

Unit cell a=3.2821 b=3.2821 c=8.2688 alpha=90.00 beta=90.00 gamma=90.00
Last column: nearest neighbours and their distance in Å.
Space group P4mm (No. 99)
Unique sites:
Sc 0.0000 0.0000 0.0000 [1 per cell]  4 Br 2.85, 4 Zn 3.01
Zn 0.0000 0.0000 0.3865 [1 per cell]  4 Zn 2.65
Zn 0.5000 0.5000 0.2322 [1 per cell]  4 Zn 2.65
Br 0.5000 0.5000 0.7996 [1 per cell]  4 Sc 2.85